[1]
Material: BaCd2SnPt
Method: DFT, GGA-PBE
State: optimized geometry

Cell lengths 5.2993, 5.2993, 5.2398 Å; angles 90.00, 90.00, 90.00 degrees
Closest atoms and distances in Å follow each position.
Space group P4/mmm (No. 123)
One atom of each set of equivalent atoms:
Ba1 0.0000 0.0000 0.0000 x1  8 Cd 3.73, 4 Sn 3.75
Cd1 0.0000 0.5000 0.5000 x2  2 Pt 2.65
Sn1 0.5000 0.5000 0.0000 x1  2 Pt 2.62
Pt1 0.5000 0.5000 0.5000 x1  2 Sn 2.62, 4 Cd 2.65

Values from the calculation:
As for the total magnetic moment: 0.00 μB per atom. The calculated total energy comes out at -3.15 eV per atom. As for the volume: 147.1 Å³/f.u. The value obtained for the density of states at the Fermi level is 3.01 states/eV per cell. The formation energy is -9.00 kcal/mol of atoms. As for the crystal system: tetragonal. The energy above the most stable polymorph in this dataset is 0.104 eV per atom.

[2]
Material: PuTi2Cu
Method: DFT, GGA-PBE
State: optimized geometry

Cell lengths 2.8475, 2.8475, 30.2081 Å; angles 90.00, 90.00, 120.00 degrees
Closest atoms and distances in Å follow each position.
Space group R-3m (No. 166, hexagonal axes)
One atom of each set of equivalent atoms:
Pu1 0.0000 0.0000 0.0000 x3  6 Pu 2.85, 2 Ti 2.87
Ti1 0.0000 0.0000 0.0950 x6  3 Cu 2.72, 6 Ti 2.85, 1 Pu 2.87
Cu1 0.0000 0.0000 0.5000 x3  6 Ti 2.72, 6 Cu 2.85

Values from the calculation:
As for the total magnetic moment: 1.28 μB per atom. The calculated total energy comes out at -8.21 eV per atom. As for the volume: 70.7 Å³/f.u. The value obtained for the density of states at the Fermi level is 26.98 states/eV per cell. The formation energy is 8.02 kcal/mol of atoms. As for the crystal system: trigonal. The energy above the most stable polymorph in this dataset is 0.301 eV per atom.

Among the records above, which one has the lowest energy above the most stable polymorph in this dataset?
BaCd2SnPt

Which of these has the highest total magnetic moment?
PuTi2Cu

Look up the total magnetic moment of the first one.
0.00 μB per atom

The lowest volume belongs to which entry?
PuTi2Cu